No. 1
This record from Alexandria via LeMat-Bulk describes crystalline ScBS2Cl at its relaxed geometry. The functional is PBE. Values from VASP.

Calculated values
Its raw formation energy is 0.16 eV/atom. The calculation puts the electronic total energy at -4.459 eV/atom. The value obtained for the relative energy among the computed polymorphs is 0.3776 eV per atom. For the theoretical density, the calculation gives 2.1 g cm⁻³.

```
&SYSTEM
  ibrav = 0, nat = 5, ntyp = 4
/
ATOMIC_SPECIES
Sc 44.96 Sc.upf
B 10.81 B.upf
S 32.06 S.upf
Cl 35.45 Cl.upf
CELL_PARAMETERS angstrom
4.941 0.000 0.000
0.000 4.941 0.000
0.000 0.000 4.974
ATOMIC_POSITIONS crystal
Sc 0.000 0.000 0.000
B 0.500 0.500 0.500
S 0.000 0.500 0.000
S 0.500 0.000 0.000
Cl 0.000 0.000 0.500
```

No. 2
This record from Alexandria via LeMat-Bulk describes crystalline ScBSCl2 at its relaxed geometry. The functional is PBE. Values from VASP.

Calculated values
Its raw formation energy is -0.13 eV/atom. The calculation puts the electronic total energy at -4.294 eV/atom. The value obtained for the relative energy among the computed polymorphs is 0.1093 eV per atom. For the theoretical density, the calculation gives 3.2 g cm⁻³.

```
&SYSTEM
  ibrav = 0, nat = 5, ntyp = 4
/
ATOMIC_SPECIES
Sc 44.96 Sc.upf
B 10.81 B.upf
S 32.06 S.upf
Cl 35.45 Cl.upf
CELL_PARAMETERS angstrom
4.354 0.000 0.000
0.000 4.354 0.000
0.000 0.000 4.381
ATOMIC_POSITIONS crystal
Sc 0.000 0.000 0.000
B 0.500 0.500 0.500
S 0.500 0.500 0.000
Cl 0.000 0.500 0.500
Cl 0.500 0.000 0.500
```

No. 3
This record from Alexandria via LeMat-Bulk describes crystalline BSeSCl2 at its relaxed geometry. The functional is PBE. Values from VASP.

Calculated values
Its raw formation energy is 0.62 eV/atom. The calculation puts the electronic total energy at -2.972 eV/atom. The value obtained for the relative energy among the computed polymorphs is 0.0000 eV per atom. For the theoretical density, the calculation gives 3.3 g cm⁻³.

```
&SYSTEM
  ibrav = 0, nat = 5, ntyp = 4
/
ATOMIC_SPECIES
B 10.81 B.upf
Se 78.96 Se.upf
S 32.06 S.upf
Cl 35.45 Cl.upf
CELL_PARAMETERS angstrom
3.976 0.000 0.000
0.000 3.976 0.000
0.000 0.000 6.045
ATOMIC_POSITIONS crystal
B 0.000 0.000 0.000
Se 0.500 0.500 0.500
S 0.000 0.000 0.500
Cl 0.000 0.500 0.000
Cl 0.500 0.000 0.000
```

No. 4
This record from Alexandria via LeMat-Bulk describes crystalline BSeSCl2 at its relaxed geometry. The functional is PBE. Values from VASP.

Calculated values
Its raw formation energy is 1.07 eV/atom. The calculation puts the electronic total energy at -2.526 eV/atom. The value obtained for the relative energy among the computed polymorphs is 0.4455 eV per atom. For the theoretical density, the calculation gives 2.6 g cm⁻³.

```
&SYSTEM
  ibrav = 0, nat = 5, ntyp = 4
/
ATOMIC_SPECIES
B 10.81 B.upf
Se 78.96 Se.upf
S 32.06 S.upf
Cl 35.45 Cl.upf
CELL_PARAMETERS angstrom
4.936 0.000 0.000
0.000 4.936 0.000
0.000 0.000 4.985
ATOMIC_POSITIONS crystal
B 0.000 0.000 0.000
Se 0.500 0.500 0.500
S 0.500 0.500 0.000
Cl 0.000 0.500 0.500
Cl 0.500 0.000 0.500
```

No. 5
This record from Alexandria via LeMat-Bulk describes crystalline Sm4BSCl2 at its relaxed geometry. The functional is PBE. Values from VASP.

Calculated values
Its raw formation energy is -1.36 eV/atom. The calculation puts the electronic total energy at -5.535 eV/atom. For the theoretical density, the calculation gives 6.3 g cm⁻³.

```
&SYSTEM
  ibrav = 0, nat = 8, ntyp = 4
/
ATOMIC_SPECIES
Sm 150.36 Sm.upf
B 10.81 B.upf
S 32.06 S.upf
Cl 35.45 Cl.upf
CELL_PARAMETERS angstrom
6.944 0.000 0.000
0.000 3.951 0.000
-2.293 0.000 6.864
ATOMIC_POSITIONS crystal
Sm 0.215 0.000 0.204
Sm 0.241 0.500 0.792
Sm 0.759 0.500 0.208
Sm 0.785 0.000 0.796
B 0.000 0.500 0.000
S 0.500 0.000 0.000
Cl 0.000 0.000 0.500
Cl 0.500 0.500 0.500
```

No. 6
This record from Alexandria via LeMat-Bulk describes crystalline SnBSCl2 at its relaxed geometry. The functional is PBE. Values from VASP.

Calculated values
Its raw formation energy is 0.65 eV/atom. The calculation puts the electronic total energy at -3.050 eV/atom. The value obtained for the relative energy among the computed polymorphs is 0.4937 eV per atom. For the theoretical density, the calculation gives 2.8 g cm⁻³.

```
&SYSTEM
  ibrav = 0, nat = 5, ntyp = 4
/
ATOMIC_SPECIES
Sn 118.71 Sn.upf
B 10.81 B.upf
S 32.06 S.upf
Cl 35.45 Cl.upf
CELL_PARAMETERS angstrom
5.242 0.000 0.000
0.000 5.242 0.000
0.000 0.000 5.090
ATOMIC_POSITIONS crystal
Sn 0.000 0.000 0.000
B 0.500 0.500 0.500
S 0.000 0.000 0.500
Cl 0.000 0.500 0.000
Cl 0.500 0.000 0.000
```

No. 7
This record from Alexandria via LeMat-Bulk describes crystalline SnBS2Cl at its relaxed geometry. The functional is PBE. Values from VASP.

Calculated values
Its raw formation energy is 0.94 eV/atom. The calculation puts the electronic total energy at -3.216 eV/atom. The value obtained for the relative energy among the computed polymorphs is 0.6937 eV per atom. For the theoretical density, the calculation gives 2.9 g cm⁻³.

```
&SYSTEM
  ibrav = 0, nat = 5, ntyp = 4
/
ATOMIC_SPECIES
Sn 118.71 Sn.upf
B 10.81 B.upf
S 32.06 S.upf
Cl 35.45 Cl.upf
CELL_PARAMETERS angstrom
5.006 0.000 0.000
0.000 5.006 0.000
0.000 0.000 5.181
ATOMIC_POSITIONS crystal
Sn 0.000 0.000 0.000
B 0.500 0.500 0.500
S 0.000 0.500 0.000
S 0.500 0.000 0.000
Cl 0.000 0.000 0.500
```

No. 8
This record from Alexandria via LeMat-Bulk describes crystalline SnBS2Cl at its relaxed geometry. The functional is PBE. Values from VASP.

Calculated values
Its raw formation energy is 0.25 eV/atom. The calculation puts the electronic total energy at -3.909 eV/atom. The value obtained for the relative energy among the computed polymorphs is 0.0000 eV per atom. For the theoretical density, the calculation gives 4.4 g cm⁻³.

```
&SYSTEM
  ibrav = 0, nat = 5, ntyp = 4
/
ATOMIC_SPECIES
Sn 118.71 Sn.upf
B 10.81 B.upf
S 32.06 S.upf
Cl 35.45 Cl.upf
CELL_PARAMETERS angstrom
4.315 0.000 0.000
0.000 4.315 0.000
0.000 0.000 4.680
ATOMIC_POSITIONS crystal
Sn 0.000 0.000 0.000
B 0.500 0.500 0.500
S 0.000 0.500 0.500
S 0.500 0.000 0.500
Cl 0.500 0.500 0.000
```

No. 9
This record from Alexandria via LeMat-Bulk describes crystalline SnBSCl2 at its relaxed geometry. The functional is PBE. Values from VASP.

Calculated values
Its raw formation energy is 0.16 eV/atom. The calculation puts the electronic total energy at -3.543 eV/atom. The value obtained for the relative energy among the computed polymorphs is 0.0000 eV per atom. For the theoretical density, the calculation gives 4.2 g cm⁻³.

```
&SYSTEM
  ibrav = 0, nat = 5, ntyp = 4
/
ATOMIC_SPECIES
Sn 118.71 Sn.upf
B 10.81 B.upf
S 32.06 S.upf
Cl 35.45 Cl.upf
CELL_PARAMETERS angstrom
4.517 0.000 0.000
0.000 4.517 0.000
0.000 0.000 4.487
ATOMIC_POSITIONS crystal
Sn 0.000 0.000 0.000
B 0.500 0.500 0.500
S 0.500 0.500 0.000
Cl 0.000 0.500 0.500
Cl 0.500 0.000 0.500
```

No. 10
This record from Alexandria via LeMat-Bulk describes crystalline SrBS2Cl at its relaxed geometry. The functional is PBE. Values from VASP.

Calculated values
Its raw formation energy is -0.58 eV/atom. The calculation puts the electronic total energy at -4.275 eV/atom. The value obtained for the relative energy among the computed polymorphs is 0.0000 eV per atom. For the theoretical density, the calculation gives 3.5 g cm⁻³.

```
&SYSTEM
  ibrav = 0, nat = 5, ntyp = 4
/
ATOMIC_SPECIES
Sr 87.62 Sr.upf
B 10.81 B.upf
S 32.06 S.upf
Cl 35.45 Cl.upf
CELL_PARAMETERS angstrom
4.276 0.000 0.000
0.000 4.276 0.000
0.000 0.000 5.178
ATOMIC_POSITIONS crystal
Sr 0.000 0.000 0.000
B 0.500 0.500 0.500
S 0.000 0.500 0.500
S 0.500 0.000 0.500
Cl 0.500 0.500 0.000
```

No. 11
This record from Alexandria via LeMat-Bulk describes crystalline SrBS2Cl at its relaxed geometry. The functional is PBE. Values from VASP.

Calculated values
Its raw formation energy is 0.71 eV/atom. The calculation puts the electronic total energy at -2.987 eV/atom. The value obtained for the relative energy among the computed polymorphs is 1.2887 eV per atom. For the theoretical density, the calculation gives 1.8 g cm⁻³.

```
&SYSTEM
  ibrav = 0, nat = 5, ntyp = 4
/
ATOMIC_SPECIES
Sr 87.62 Sr.upf
B 10.81 B.upf
S 32.06 S.upf
Cl 35.45 Cl.upf
CELL_PARAMETERS angstrom
5.768 0.000 0.000
0.000 5.768 0.000
0.000 0.000 5.558
ATOMIC_POSITIONS crystal
Sr 0.000 0.000 0.000
B 0.500 0.500 0.500
S 0.000 0.500 0.000
S 0.500 0.000 0.000
Cl 0.000 0.000 0.500
```

No. 12
This record from Alexandria via LeMat-Bulk describes crystalline TaBS2Cl at its relaxed geometry. The functional is PBE. Values from VASP.

Calculated values
Its raw formation energy is 0.48 eV/atom. The calculation puts the electronic total energy at -5.249 eV/atom. The value obtained for the relative energy among the computed polymorphs is 0.0000 eV per atom. For the theoretical density, the calculation gives 4.4 g cm⁻³.

```
&SYSTEM
  ibrav = 0, nat = 5, ntyp = 4
/
ATOMIC_SPECIES
Ta 180.95 Ta.upf
B 10.81 B.upf
S 32.06 S.upf
Cl 35.45 Cl.upf
CELL_PARAMETERS angstrom
4.794 0.000 0.000
0.000 4.794 0.000
0.000 0.000 4.833
ATOMIC_POSITIONS crystal
Ta 0.000 0.000 0.000
B 0.500 0.500 0.500
S 0.000 0.500 0.000
S 0.500 0.000 0.000
Cl 0.000 0.000 0.500
```